1.
A plane-wave DFT calculation with GGA-PBE was carried out for Tb3Tm6Pu after structural relaxation.

a b c (Å): 6.0894 10.7494 10.7494
angles (deg): 119.19 90.00 90.00
Site moments in Bohr magnetons follow the coordinates.
Atoms (fractional coordinates):
Tm 0.3738 0.0345 0.4516  0.15
Tm 0.6355 0.2808 0.7192  0.18
Tb 0.9437 0.7212 0.9417  -0.02
Tm 0.1355 0.7192 0.2808  0.18
Tb 0.4437 0.2788 0.0583  -0.02
Tm 0.0296 0.7077 0.6156  -0.13
Tm 0.3738 0.5484 0.9655  0.15
Tm 0.0296 0.3844 0.2923  -0.13
Tm 0.9337 0.0552 0.9448  -0.01
Pu 0.1572 0.2123 0.7877  5.64
Tb 0.0647 0.3872 0.6128  -0.01
Tm 0.5296 0.2923 0.3844  -0.13
Pu 0.6572 0.7877 0.2123  5.64
Tm 0.4337 0.9448 0.0552  -0.01
Tm 0.8738 0.9655 0.5484  0.15
Tb 0.9437 0.0583 0.2788  -0.02
Tm 0.8738 0.4516 0.0345  0.15
Tm 0.5296 0.6156 0.7077  -0.13
Tb 0.4437 0.9417 0.7212  -0.02
Tb 0.5647 0.6128 0.3872  -0.01

Output
calculated density	9.4	g/cm³
D(E_F)	19.7	states/eV/f.u.
E	-5.354	eV per atom
M_tot	5.95	μB per formula unit
calculated formation energy	0.151	eV per atom

***

2.
A plane-wave DFT calculation with GGA-PBE was carried out for BaLaPm2Hg4 after structural relaxation.

a b c (Å): 5.5437 5.5437 9.6957
angles (deg): 73.39 73.39 60.00
Site moments in Bohr magnetons follow the coordinates.
Atoms (fractional coordinates):
Hg 0.3812 0.3812 0.8563  0.00
Pm 0.7514 0.7514 0.7458  0.05
La 0.5000 0.5000 0.5000  0.07
Pm 0.2486 0.2486 0.2542  0.05
Hg 0.8711 0.8711 0.3866  0.00
Hg 0.1289 0.1289 0.6134  0.00
Hg 0.6188 0.6188 0.1437  0.00
Ba 0.0000 0.0000 0.0000  0.00

Output
calculated density	9.3	g/cm³
D(E_F)	7.7	states/eV/f.u.
E	-2.634	eV per atom
M_tot	0.35	μB per formula unit
calculated formation energy	-0.439	eV per atom